# La2Tb6Ho PBE relaxed
data_La2Tb6Ho
_chemical_formula_sum 'La2 Tb6 Ho1'
_cell_length_a 9.8592
_cell_length_b 9.8592
_cell_length_c 3.5140
_cell_angle_alpha 90.00
_cell_angle_beta 90.00
_cell_angle_gamma 120.00
_space_group_name_H-M_alt 'P 6/m m m'
_space_group_IT_number 191
_space_group_name_Hall '-P 6 2'
loop_
_atom_site_label
_atom_site_type_symbol
_atom_site_fract_x
_atom_site_fract_y
_atom_site_fract_z
La1 La 0.3333 0.6667 0.0000
Tb1 Tb 0.0000 0.3301 0.5000
Ho1 Ho 0.0000 0.0000 0.0000
# theoretical density	7.8	Mg/m³
# size of the total moment	0.00	μB per cell
# E above lowest polymorph	0.00	eV/f.u.
# volume	295.76	Å³/f.u.